Computed, not measured: a geometry-optimized ZrPbO2F structure at the GGA-PBE level of DFT.

Output
crystal system	tetragonal
raw formation energy	-0.67	eV per atom
theoretical density	6.63	g/cm3
size of the total moment	0.394	μB per atom

Unit cell a=4.4619 b=4.4619 c=4.3957 alpha=90.00 beta=90.00 gamma=90.00
Last column: magnetic moment on the atom in μB.
Fractional coordinates of all 5 atoms:
Zr1 0.5000 0.5000 0.5000  1.43
F1 0.0000 0.0000 0.5000  0.03
O1 0.5000 0.0000 0.0000  -0.02
O2 0.0000 0.5000 0.0000  -0.02
Pb1 0.0000 0.0000 0.0000  0.00